Record 1
The following is a PBE-GGA calculation of a relaxed structure of RbZn8Sb6, from Alexandria via LeMat-Bulk.

Cell: 7.5035 7.5035 7.5035 Å, 98.08 98.08 98.08°
Closest atoms and distances in Å follow each position.
Atoms (fractional coordinates):
Rb1 0.0000 0.0000 0.0000  2 Zn 3.55
Zn1 0.1738 0.6071 0.5192  4 Sb 2.71-3.01, 4 Zn 2.82-2.98
Zn2 0.3226 0.3226 0.3226  3 Sb 2.68, 3 Zn 2.87
Zn3 0.3929 0.4808 0.8262  4 Sb 2.71-3.01, 4 Zn 2.82-2.98
Zn4 0.4808 0.8262 0.3929  4 Sb 2.71-3.01, 4 Zn 2.82-2.98
Zn5 0.5192 0.1737 0.6071  4 Sb 2.71-3.01, 4 Zn 2.82-2.98
Zn6 0.6071 0.5192 0.1738  4 Sb 2.71-3.01, 4 Zn 2.82-2.98
Zn7 0.6774 0.6774 0.6774  3 Sb 2.68, 3 Zn 2.87
Zn8 0.8262 0.3929 0.4808  4 Sb 2.71-3.01, 4 Zn 2.82-2.98
Sb1 0.1322 0.2448 0.5856  4 Zn 2.68-2.81
Sb2 0.2448 0.5856 0.1322  4 Zn 2.68-2.81
Sb3 0.4144 0.8678 0.7552  4 Zn 2.68-2.81
Sb4 0.5856 0.1322 0.2448  4 Zn 2.68-2.81
Sb5 0.7552 0.4144 0.8678  4 Zn 2.68-2.81
Sb6 0.8678 0.7552 0.4144  4 Zn 2.68-2.81

SG: No. 148
Electronic total energy: -0.1787 Ry per atom
Spin magnetization: 0.00 μB/atom



Record 2
The following is a PBE-GGA calculation of a relaxed structure of Rb3Zn2Sb4, from Alexandria via LeMat-Bulk.

Cell: 7.8814 7.8814 9.5498 Å, 103.90 103.90 32.74°
Closest atoms and distances in Å follow each position.
Atoms (fractional coordinates):
Rb1 0.0000 0.0000 0.0000  6 Sb 3.67-3.82
Rb2 0.4060 0.4060 0.3194  3 Zn 3.63-3.93, 7 Sb 3.69-3.97, 1 Rb 3.88
Rb3 0.5940 0.5940 0.6806  3 Zn 3.63-3.93, 7 Sb 3.69-3.97, 1 Rb 3.88
Zn1 0.2713 0.2713 0.6214  4 Sb 2.72-2.90
Zn2 0.7287 0.7287 0.3786  4 Sb 2.72-2.90
Sb1 0.1259 0.1259 0.3822  3 Zn 2.72-2.75
Sb2 0.2883 0.2883 0.9307  1 Zn 2.90, 2 Sb 2.96
Sb3 0.7117 0.7117 0.0693  1 Zn 2.90, 2 Sb 2.96
Sb4 0.8741 0.8741 0.6178  3 Zn 2.72-2.75

SG: No. 12
Electronic total energy: -0.2011 Ry per atom
Spin magnetization: 0.00 μB/atom



Record 3
The following is a PBE-GGA calculation of a relaxed structure of Rb3ZnSb, from Alexandria via LeMat-Bulk.

Cell: 9.7994 9.7994 9.7994 Å, 74.89 127.28 130.91°
Closest atoms and distances in Å follow each position.
Atoms (fractional coordinates):
Rb1 0.2503 0.0266 0.2769  1 Zn 3.48
Rb2 0.2503 0.4734 0.7237  1 Zn 3.48
Rb3 0.6427 0.0042 0.1384  2 Zn 3.74-3.75, 1 Sb 3.92
Rb4 0.7497 0.5266 0.2763  1 Zn 3.48
Rb5 0.7497 0.9734 0.7231  1 Zn 3.48
Rb6 0.8658 0.5042 0.8616  2 Zn 3.74-3.75, 1 Sb 3.92
Zn1 0.2542 0.2530 0.5012  2 Sb 2.61
Zn2 0.7518 0.7530 0.4988  2 Sb 2.61
Sb1 0.1894 0.0019 0.6875  2 Zn 2.61
Sb2 0.3144 0.5019 0.3125  2 Zn 2.61

SG: No. 46
Electronic total energy: -0.1260 Ry per atom
Spin magnetization: 0.00 μB/atom
E above lowest polymorph: 0 meV per atom



Record 4
The following is a PBE-GGA calculation of a relaxed structure of RbZr3Sb, from Alexandria via LeMat-Bulk.

Cell: 5.0487 5.0487 5.0487 Å, 90.00 90.00 90.00°
Closest atoms and distances in Å follow each position.
Atoms (fractional coordinates):
Rb1 0.0000 0.0000 0.0000  6 Zr 2.52
Zr1 0.0000 0.0000 0.5000  2 Rb 2.52
Zr2 0.0000 0.5000 0.0000  2 Rb 2.52
Zr3 0.5000 0.0000 0.0000  2 Rb 2.52
Sb1 0.5000 0.5000 0.5000  12 Zr 3.57

SG: No. 221
Electronic total energy: -0.3157 Ry per atom
Spin magnetization: 0.21 μB/atom
E above lowest polymorph: 982 meV per atom



Record 5
The following is a PBE-GGA calculation of a relaxed structure of RbZrSb2, from Alexandria via LeMat-Bulk.

Cell: 3.6369 3.6369 9.0858 Å, 90.00 90.00 90.00°
Closest atoms and distances in Å follow each position.
Atoms (fractional coordinates):
Rb1 0.0000 0.0000 0.0000  4 Rb 3.64, 8 Sb 3.81
Zr1 0.0000 0.0000 0.5000  8 Sb 3.10
Sb1 0.5000 0.5000 0.3101  4 Zr 3.10, 1 Sb 3.45
Sb2 0.5000 0.5000 0.6899  4 Zr 3.10, 1 Sb 3.45

SG: No. 123
Electronic total energy: -0.3561 Ry per atom
Spin magnetization: 0.00 μB/atom
E above lowest polymorph: 26 meV per atom



Record 6
The following is a PBE-GGA calculation of a relaxed structure of RbZrSb2, from Alexandria via LeMat-Bulk.

Cell: 9.5941 9.5941 9.5941 Å, 24.17 24.17 24.17°
Closest atoms and distances in Å follow each position.
Atoms (fractional coordinates):
Rb1 0.0000 0.0000 0.0000  6 Sb 3.65, 6 Rb 4.02
Zr1 0.5000 0.5000 0.5000  6 Sb 2.96
Sb1 0.2326 0.2326 0.2326  3 Zr 2.96
Sb2 0.7674 0.7674 0.7674  3 Zr 2.96

SG: No. 166
Electronic total energy: -0.3580 Ry per atom
Spin magnetization: 0.00 μB/atom
E above lowest polymorph: 0 meV per atom



Record 7
The following is a PBE-GGA calculation of a relaxed structure of RbZrSb3, from Alexandria via LeMat-Bulk.

Cell: 5.6461 5.6461 5.6461 Å, 90.00 90.00 90.00°
Closest atoms and distances in Å follow each position.
Atoms (fractional coordinates):
Rb1 0.0000 0.0000 0.0000  12 Sb 3.99
Zr1 0.5000 0.5000 0.5000  6 Sb 2.82
Sb1 0.0000 0.5000 0.5000  2 Zr 2.82
Sb2 0.5000 0.0000 0.5000  2 Zr 2.82
Sb3 0.5000 0.5000 0.0000  2 Zr 2.82

SG: No. 221
Electronic total energy: -0.3364 Ry per atom
Spin magnetization: 0.00 μB/atom
E above lowest polymorph: 0 meV per atom



Record 8
The following is a PBE-GGA calculation of a relaxed structure of RbZrSb2, from Alexandria via LeMat-Bulk.

Cell: 5.4396 5.4396 5.4396 Å, 60.00 60.00 60.00°
Closest atoms and distances in Å follow each position.
Atoms (fractional coordinates):
Rb1 0.0000 0.0000 0.0000  8 Sb 3.33
Zr1 0.5000 0.5000 0.5000  8 Sb 3.33
Sb1 0.2500 0.2500 0.2500  4 Zr 3.33, 4 Rb 3.33
Sb2 0.7500 0.7500 0.7500  4 Zr 3.33, 4 Rb 3.33

SG: No. 225
Electronic total energy: -0.3228 Ry per atom
Spin magnetization: 0.00 μB/atom
E above lowest polymorph: 479 meV per atom



Record 9
The following is a PBE-GGA calculation of a relaxed structure of RbZr3Sb, from Alexandria via LeMat-Bulk.

Cell: 5.5179 5.5179 5.5179 Å, 90.00 90.00 90.00°
Closest atoms and distances in Å follow each position.
Atoms (fractional coordinates):
Rb1 0.0000 0.0000 0.0000  12 Zr 3.90
Zr1 0.0000 0.5000 0.5000  2 Sb 2.76
Zr2 0.5000 0.0000 0.5000  2 Sb 2.76
Zr3 0.5000 0.5000 0.0000  2 Sb 2.76
Sb1 0.5000 0.5000 0.5000  6 Zr 2.76

SG: No. 221
Electronic total energy: -0.3879 Ry per atom
Spin magnetization: 0.00 μB/atom
E above lowest polymorph: 0 meV per atom



Record 10
The following is a PBE-GGA calculation of a relaxed structure of Rb2ZrSb, from Alexandria via LeMat-Bulk.

Cell: 9.9013 9.9013 9.9013 Å, 94.61 94.61 147.07°
Closest atoms and distances in Å follow each position.
Atoms (fractional coordinates):
Rb1 0.3750 0.0292 0.1542  2 Sb 3.66
Rb2 0.7792 0.6250 0.6542  2 Sb 3.66
Rb3 0.8750 0.2208 0.8458  2 Sb 3.66
Rb4 0.9708 0.1250 0.3458  2 Sb 3.66
Zr1 0.2500 0.7500 0.5000  2 Sb 2.81
Zr2 0.5000 0.5000 0.0000  2 Sb 2.81
Sb1 0.0000 0.0000 0.0000  2 Zr 2.81
Sb2 0.7500 0.2500 0.5000  2 Zr 2.81

SG: No. 122
Electronic total energy: -0.2419 Ry per atom
Spin magnetization: 0.26 μB/atom



Record 11
The following is a PBE-GGA calculation of a relaxed structure of RbZrSb3, from Alexandria via LeMat-Bulk.

Cell: 5.6853 5.6853 5.6853 Å, 90.00 90.00 90.00°
Closest atoms and distances in Å follow each position.
Atoms (fractional coordinates):
Rb1 0.0000 0.0000 0.0000  6 Sb 2.84
Zr1 0.5000 0.5000 0.5000  12 Sb 4.02
Sb1 0.0000 0.0000 0.5000  2 Rb 2.84
Sb2 0.0000 0.5000 0.0000  2 Rb 2.84
Sb3 0.5000 0.0000 0.0000  2 Rb 2.84

SG: No. 221
Electronic total energy: -0.2018 Ry per atom
Spin magnetization: 0.00 μB/atom
E above lowest polymorph: 1832 meV per atom



Record 12
The following is a PBE-GGA calculation of a relaxed structure of RbZr4Sb2, from Alexandria via LeMat-Bulk.

Cell: 8.3397 8.3397 8.3397 Å, 145.92 145.92 48.96°
Closest atoms and distances in Å follow each position.
Atoms (fractional coordinates):
Rb1 0.0000 0.0000 0.0000  4 Zr 2.44
Zr1 0.0000 0.5000 0.5000  2 Rb 2.44
Zr2 0.1807 0.1807 0.0000  1 Rb 2.74, 1 Sb 2.83
Zr3 0.5000 0.0000 0.5000  2 Rb 2.44
Zr4 0.8193 0.8193 0.0000  1 Rb 2.74, 1 Sb 2.83
Sb1 0.3673 0.3673 0.0000  5 Zr 2.83-3.17
Sb2 0.6327 0.6327 0.0000  5 Zr 2.83-3.17

SG: No. 139
Electronic total energy: -0.3720 Ry per atom
Spin magnetization: 0.00 μB/atom



Calculated density (g cm⁻³), listed in the same order as above: 5.44 4.67 2.67 6.21 5.81 5.36 5.00 6.13 4.75 2.52 4.90 6.36